1.
The following is a PBE-GGA calculation of LaFeMo2 after structural relaxation, from the Alexandria database.

Cell: 4.5560 4.5560 4.5560 Å, 60.00 60.00 60.00°
Last column: nearest neighbours and their distance in Å.
Atoms (fractional coordinates):
Mo (0.2500, 0.2500, 0.2500)  4 La 2.79, 4 Fe 2.79
Mo (0.7500, 0.7500, 0.7500)  4 La 2.79, 4 Fe 2.79
Fe (0.0000, 0.0000, 0.0000)  8 Mo 2.79
La (0.5000, 0.5000, 0.5000)  8 Mo 2.79

Summary:
**Total magnetic moment**: 0.00 μB per cell
**Distance to the lowest polymorph of the same formula**: 220 meV/atom
**Symmetry**: Fm-3m, No. 225
**E**: -8.09 eV per atom

2.
The following is a PBE-GGA calculation of ZnRe2Ni after structural relaxation, from the Alexandria database.

Cell: 4.2083 2.6424 5.0553 Å, 79.54 90.00 90.00°
Last column: nearest neighbours and their distance in Å.
Atoms (fractional coordinates):
Ni (0.5000, 0.5793, 0.7395)  2 Zn 2.38, 1 Re 2.56, 2 Ni 2.64
Re (0.0000, 0.0109, 0.9977)  4 Re 2.59-2.64, 3 Zn 2.61-2.76, 4 Ni 2.77-2.82
Re (0.5000, 0.2455, 0.2478)  3 Ni 2.56-2.78, 4 Re 2.59-2.64, 4 Zn 2.80-2.83
Zn (0.0000, 0.6642, 0.5150)  2 Ni 2.38, 1 Re 2.61, 2 Zn 2.64

Summary:
**Total magnetic moment**: 0.00 μB per cell
**Symmetry**: Pm, No. 6
**E**: -7.88 eV per atom

3.
The following is a PBE-GGA calculation of Sr4ZnRe after structural relaxation, from the Alexandria database.

Cell: 6.7300 6.7300 6.7300 Å, 60.00 60.00 60.00°
Last column: nearest neighbours and their distance in Å.
Atoms (fractional coordinates):
Sr (0.8781, 0.3740, 0.3740)  6 Sr 3.34-3.39
Sr (0.3740, 0.3740, 0.8781)  6 Sr 3.34-3.39
Sr (0.3740, 0.8781, 0.3740)  6 Sr 3.34-3.39
Sr (0.3740, 0.3740, 0.3740)  6 Sr 3.34-3.39
Zn (0.7500, 0.7500, 0.7500)  12 Sr 3.95, 4 Re 4.12
Re (0.0000, 0.0000, 0.0000)  12 Sr 3.94, 4 Zn 4.12

Summary:
**Total magnetic moment**: 2.21 μB per cell
**Symmetry**: F-43m, No. 216
**E**: -2.07 eV per atom

4.
The following is a PBE-GGA calculation of HoPuCoAu after structural relaxation, from the Alexandria database.

Cell: 4.9413 4.9413 4.9413 Å, 60.00 60.00 60.00°
Last column: nearest neighbours and their distance in Å.
Atoms (fractional coordinates):
Co (0.5000, 0.5000, 0.5000)  4 Pu 3.03, 4 Ho 3.03
Au (0.0000, 0.0000, 0.0000)  4 Ho 3.03, 4 Pu 3.03
Ho (0.2500, 0.2500, 0.2500)  4 Co 3.03, 4 Au 3.03
Pu (0.7500, 0.7500, 0.7500)  4 Au 3.03, 4 Co 3.03

Summary:
**Total magnetic moment**: 4.83 μB per cell
**Symmetry**: F-43m, No. 216
**E**: -7.55 eV per atom

5.
The following is a PBE-GGA calculation of LaScTa after structural relaxation, from the Alexandria database.

Cell: 4.9092 4.9092 4.9092 Å, 60.00 60.00 60.00°
Last column: nearest neighbours and their distance in Å.
Atoms (fractional coordinates):
La (0.0000, 0.0000, 0.0000)  4 Ta 3.01
Sc (0.5000, 0.5000, 0.5000)  4 Ta 3.01
Ta (0.7500, 0.7500, 0.7500)  4 La 3.01, 4 Sc 3.01

Summary:
**Total magnetic moment**: 0.99 μB per cell
**Distance to the lowest polymorph of the same formula**: 613 meV/atom
**Symmetry**: F-43m, No. 216
**E**: -6.81 eV per atom

6.
The following is a PBE-GGA calculation of NaAg2Br6 after structural relaxation, from the Alexandria database.

Cell: 7.6192 6.5943 12.5125 Å, 90.00 73.37 90.00°
Last column: nearest neighbours and their distance in Å.
Atoms (fractional coordinates):
Na (0.5000, 0.5000, 0.0000)  4 Br 2.86-2.95
Na (0.0000, 0.0000, 0.5000)  4 Br 2.86-2.95
Ag (0.0245, 0.3988, 0.8424)  4 Br 2.54-2.62
Ag (0.4755, 0.8988, 0.6576)  4 Br 2.54-2.62
Ag (0.5245, 0.1012, 0.3424)  4 Br 2.54-2.62
Ag (0.9755, 0.6012, 0.1576)  4 Br 2.54-2.62
Br (0.8354, 0.9041, 0.2874)  2 Ag 2.60-2.62
Br (0.7693, 0.6982, 0.6346)  1 Ag 2.54
Br (0.8575, 0.7073, 0.9505)  1 Ag 2.57
Br (0.6425, 0.2073, 0.5495)  1 Ag 2.57
Br (0.7307, 0.1982, 0.8654)  1 Ag 2.54
Br (0.6646, 0.4041, 0.2126)  2 Ag 2.60-2.62
Br (0.1646, 0.0959, 0.7126)  2 Ag 2.60-2.62
Br (0.2307, 0.3018, 0.3654)  1 Ag 2.54
Br (0.1425, 0.2927, 0.0495)  1 Ag 2.57
Br (0.3575, 0.7927, 0.4505)  1 Ag 2.57
Br (0.2693, 0.8018, 0.1346)  1 Ag 2.54
Br (0.3354, 0.5959, 0.7874)  2 Ag 2.60-2.62

Summary:
**Total magnetic moment**: 0.00 μB per cell
**Distance to the lowest polymorph of the same formula**: 11 meV/atom
**Symmetry**: P2_1/c, No. 14
**E**: -2.30 eV per atom
**Energy relative to the elements, uncorrected**: -404 meV/atom

7.
The following is a PBE-GGA calculation of Y2ScTiH after structural relaxation, from the Alexandria database.

Cell: 4.7923 4.7923 4.5584 Å, 90.00 90.00 90.00°
Last column: nearest neighbours and their distance in Å.
Atoms (fractional coordinates):
Y (0.0000, 0.5000, 0.0000)  2 H 2.40
Y (0.5000, 0.0000, 0.0000)  2 H 2.40
Sc (0.0000, 0.0000, 0.5000)  2 H 2.28
H (0.0000, 0.0000, 0.0000)  2 Sc 2.28, 4 Y 2.40
Ti (0.5000, 0.5000, 0.5000)  8 Y 3.31, 4 Sc 3.39

Summary:
**Total magnetic moment**: 0.92 μB per cell
**Distance to the lowest polymorph of the same formula**: 9 meV/atom
**Symmetry**: P4/mmm, No. 123
**E**: -6.11 eV per atom

8.
The following is a PBE-GGA calculation of PuMgZn2Ge2 after structural relaxation, from the Alexandria database.

Cell: 4.3680 4.3680 6.9037 Å, 90.00 90.00 120.00°
Last column: nearest neighbours and their distance in Å.
Atoms (fractional coordinates):
Pu (0.0000, 0.0000, 0.0000)  6 Ge 3.05, 6 Zn 3.24
Mg (0.0000, 0.0000, 0.5000)  6 Zn 2.89, 6 Ge 3.06
Zn (0.3333, 0.6667, 0.7042)  3 Ge 2.54
Zn (0.6667, 0.3333, 0.2958)  3 Ge 2.54
Ge (0.3333, 0.6667, 0.2489)  3 Zn 2.54
Ge (0.6667, 0.3333, 0.7511)  3 Zn 2.54

Summary:
**Total magnetic moment**: 5.51 μB per cell
**Symmetry**: P-3m1, No. 164
**E**: -4.89 eV per atom

9.
The following is a PBE-GGA calculation of Cs2ZrTeO6 after structural relaxation, from the Alexandria database.

Cell: 6.2483 6.2483 10.4907 Å, 72.67 72.67 60.00°
Last column: nearest neighbours and their distance in Å.
Atoms (fractional coordinates):
Cs (0.8675, 0.8675, 0.3976)  12 O 3.12-3.29
Cs (0.1325, 0.1325, 0.6024)  12 O 3.12-3.29
Cs (0.7232, 0.7232, 0.8305)  9 O 2.90-3.18
Cs (0.2768, 0.2768, 0.1695)  9 O 2.90-3.18
Zr (0.5986, 0.5986, 0.2043)  6 O 2.13-2.20
Zr (0.4014, 0.4014, 0.7957)  6 O 2.13-2.20
Te (0.0000, 0.0000, 0.0000)  6 O 2.00
Te (0.5000, 0.5000, 0.5000)  6 O 1.96
O (0.8178, 0.4062, 0.3697)  1 Te 1.96
O (0.4062, 0.8178, 0.3697)  1 Te 1.96
O (0.4062, 0.4062, 0.3697)  1 Te 1.96
O (0.1822, 0.5938, 0.6303)  1 Te 1.96
O (0.5938, 0.1822, 0.6303)  1 Te 1.96
O (0.5938, 0.5938, 0.6303)  1 Te 1.96
O (0.7256, 0.1924, 0.8897)  1 Te 2.00, 1 Zr 2.13
O (0.1924, 0.7256, 0.8897)  1 Te 2.00, 1 Zr 2.13
O (0.1924, 0.1924, 0.8897)  1 Te 2.00, 1 Zr 2.13
O (0.2744, 0.8076, 0.1103)  1 Te 2.00, 1 Zr 2.13
O (0.8076, 0.2744, 0.1103)  1 Te 2.00, 1 Zr 2.13
O (0.8076, 0.8076, 0.1103)  1 Te 2.00, 1 Zr 2.13

Summary:
**Total magnetic moment**: 0.00 μB per cell
**Symmetry**: R-3m, No. 166
**E**: -6.20 eV per atom
**Energy relative to the elements, uncorrected**: -1886 meV/atom

10.
The following is a PBE-GGA calculation of BaGa3Ir3 after structural relaxation, from the Alexandria database.

Cell: 6.8763 6.8763 6.8763 Å, 90.00 90.00 90.00°
Last column: nearest neighbours and their distance in Å.
Atoms (fractional coordinates):
Ir (0.2500, 0.0000, 0.5000)  4 Ga 2.43
Ir (0.0000, 0.5000, 0.2500)  4 Ga 2.43
Ir (0.5000, 0.7500, 0.0000)  4 Ga 2.43
Ir (0.7500, 0.0000, 0.5000)  4 Ga 2.43
Ir (0.0000, 0.5000, 0.7500)  4 Ga 2.43
Ir (0.5000, 0.2500, 0.0000)  4 Ga 2.43
Ba (0.5000, 0.5000, 0.5000)  12 Ga 3.84, 12 Ir 3.84
Ba (0.0000, 0.0000, 0.0000)  12 Ir 3.84, 12 Ga 3.84
Ga (0.0000, 0.2500, 0.5000)  4 Ir 2.43
Ga (0.0000, 0.7500, 0.5000)  4 Ir 2.43
Ga (0.5000, 0.0000, 0.7500)  4 Ir 2.43
Ga (0.7500, 0.5000, 0.0000)  4 Ir 2.43
Ga (0.5000, 0.0000, 0.2500)  4 Ir 2.43
Ga (0.2500, 0.5000, 0.0000)  4 Ir 2.43

Summary:
**Total magnetic moment**: 0.00 μB per cell
**Distance to the lowest polymorph of the same formula**: 62 meV/atom
**Symmetry**: Pm-3n, No. 223
**E**: -5.51 eV per atom

11.
The following is a PBE-GGA calculation of Cs2Na2Tl15 after structural relaxation, from the Alexandria database.

Cell: 8.7321 8.7321 8.7321 Å, 83.09 83.09 83.09°
Last column: nearest neighbours and their distance in Å.
Atoms (fractional coordinates):
Cs (0.3441, 0.3441, 0.3441)  18 Tl 4.06-4.48, 1 Na 4.08
Cs (0.6559, 0.6559, 0.6559)  18 Tl 4.06-4.48, 1 Na 4.08
Na (0.1021, 0.1021, 0.1021)  1 Na 3.44, 12 Tl 3.52-3.78
Na (0.8979, 0.8979, 0.8979)  1 Na 3.44, 12 Tl 3.52-3.78
Tl (0.5000, 0.0000, 0.0000)  8 Tl 3.30-3.36, 2 Na 3.52
Tl (0.0000, 0.0000, 0.5000)  8 Tl 3.30-3.36, 2 Na 3.52
Tl (0.0000, 0.5000, 0.0000)  8 Tl 3.30-3.36, 2 Na 3.52
Tl (0.0000, 0.7096, 0.2904)  8 Tl 3.30-3.56
Tl (0.7096, 0.2904, 0.0000)  8 Tl 3.30-3.56
Tl (0.2904, 0.0000, 0.7096)  8 Tl 3.30-3.56
Tl (0.2904, 0.7096, 0.0000)  8 Tl 3.30-3.56
Tl (0.7096, 0.0000, 0.2904)  8 Tl 3.30-3.56
Tl (0.0000, 0.2904, 0.7096)  8 Tl 3.30-3.56
Tl (0.1503, 0.6483, 0.6483)  8 Tl 3.36-3.56, 1 Na 3.63
Tl (0.6483, 0.6483, 0.1503)  8 Tl 3.36-3.56, 1 Na 3.63
Tl (0.6483, 0.1503, 0.6483)  8 Tl 3.36-3.56, 1 Na 3.63
Tl (0.8497, 0.3517, 0.3517)  8 Tl 3.36-3.56, 1 Na 3.63
Tl (0.3517, 0.3517, 0.8497)  8 Tl 3.36-3.56, 1 Na 3.63
Tl (0.3517, 0.8497, 0.3517)  8 Tl 3.36-3.56, 1 Na 3.63

Summary:
**Total magnetic moment**: 0.00 μB per cell
**Symmetry**: R-3m, No. 166
**E**: -2.14 eV per atom

12.
The following is a PBE-GGA calculation of Ag3Os after structural relaxation, from the Alexandria database.

Cell: 4.9671 4.9671 2.7365 Å, 90.00 90.00 90.00°
Last column: nearest neighbours and their distance in Å.
Atoms (fractional coordinates):
Os (0.0000, 0.5000, 0.5000)  2 Os 2.74, 8 Ag 2.84
Ag (0.0000, 0.0000, 0.0000)  6 Ag 2.74-2.84, 4 Os 2.84
Ag (0.5000, 0.0000, 0.5000)  10 Ag 2.74-2.84
Ag (0.5000, 0.5000, 0.0000)  6 Ag 2.74-2.84, 4 Os 2.84

Summary:
**Total magnetic moment**: 0.00 μB per cell
**Distance to the lowest polymorph of the same formula**: 233 meV/atom
**Symmetry**: P4/mmm, No. 123
**E**: -4.31 eV per atom

Let's list calculated density in order: 9.60, 14.91, 4.64, 12.94, 7.24, 3.96, 4.31, 7.92, 5.79, 9.43, 8.60, 12.64 Mg/m³.